A geometry-optimized PrCdNi structure. Source: OQMD, functional PBE.

POSCAR file:
```
PrCdNi
1.0
0.0000 3.2868 3.2868
3.2868 0.0000 3.2868
3.2868 3.2868 0.0000
Pr Cd Ni
1 1 1
direct
0.0000 0.0000 0.0000 Pr
0.5000 0.5000 0.5000 Cd
0.7500 0.7500 0.7500 Ni
```

## Properties
Energy of formation ... -0.19 eV/atom